(1)
# TcHg2Ge, relaxed, DFT GGA-PBE
# calculated volume	301	Å³/cell
# uncorrected energy	-3.19	eV/atom
data_TcHg2Ge
_chemical_formula_sum 'Tc4 Hg8 Ge4'
_cell_length_a 6.704
_cell_length_b 6.704
_cell_length_c 6.704
_cell_angle_alpha 90.00
_cell_angle_beta 90.00
_cell_angle_gamma 90.00
_symmetry_space_group_name_H-M 'F -4 3 m'
_symmetry_Int_Tables_number 216
_symmetry_space_group_name_Hall 'F -4 2 3'
loop_
_atom_site_label
_atom_site_type_symbol
_atom_site_fract_x
_atom_site_fract_y
_atom_site_fract_z
Tc1 Tc 0.000 0.000 0.000
Hg1 Hg 0.000 0.000 0.500
Hg2 Hg 0.250 0.250 0.250
Ge1 Ge 0.250 0.250 0.750

(2)
# NaNdCdTe3, relaxed, DFT GGA-PBE
# calculated volume	806	Å³/cell
# uncorrected energy	-3.64	eV/atom
# energy above the most stable polymorph in this dataset	71	meV per atom
data_NaNdCdTe3
_chemical_formula_sum 'Na4 Nd4 Cd4 Te12'
_cell_length_a 20.182
_cell_length_b 4.466
_cell_length_c 9.241
_cell_angle_alpha 90.00
_cell_angle_beta 104.54
_cell_angle_gamma 90.00
_symmetry_space_group_name_H-M 'C 1 2/m 1'
_symmetry_Int_Tables_number 12
_symmetry_space_group_name_Hall '-C 2y'
loop_
_atom_site_label
_atom_site_type_symbol
_atom_site_fract_x
_atom_site_fract_y
_atom_site_fract_z
Na1 Na 0.123 0.000 0.080
Nd1 Nd 0.177 0.000 0.598
Cd1 Cd 0.035 0.500 0.723
Te1 Te 0.000 0.000 0.500
Te2 Te 0.000 0.500 0.000
Te3 Te 0.165 0.500 0.353
Te4 Te 0.178 0.500 0.843

(3)
# LiSnGeAu, relaxed, DFT GGA-PBE
# calculated volume	313	Å³/cell
# uncorrected energy	-3.61	eV/atom
# energy above the most stable polymorph in this dataset	0	meV per atom
data_LiSnGeAu
_chemical_formula_sum 'Li4 Sn4 Ge4 Au4'
_cell_length_a 6.789
_cell_length_b 6.789
_cell_length_c 6.789
_cell_angle_alpha 90.00
_cell_angle_beta 90.00
_cell_angle_gamma 90.00
_symmetry_space_group_name_H-M 'F -4 3 m'
_symmetry_Int_Tables_number 216
_symmetry_space_group_name_Hall 'F -4 2 3'
loop_
_atom_site_label
_atom_site_type_symbol
_atom_site_fract_x
_atom_site_fract_y
_atom_site_fract_z
Li1 Li 0.000 0.000 0.000
Sn1 Sn 0.000 0.000 0.500
Ge1 Ge 0.250 0.250 0.250
Au1 Au 0.250 0.250 0.750

(4)
# Zr2Si2Os, relaxed, DFT GGA-PBE
# calculated volume	168	Å³/cell
# uncorrected energy	-8.70	eV/atom
data_Zr2Si2Os
_chemical_formula_sum 'Zr4 Si4 Os2'
_cell_length_a 6.346
_cell_length_b 6.346
_cell_length_c 4.179
_cell_angle_alpha 90.00
_cell_angle_beta 90.00
_cell_angle_gamma 90.00
_symmetry_space_group_name_H-M 'P 4/m b m'
_symmetry_Int_Tables_number 127
_symmetry_space_group_name_Hall '-P 4 2ab'
loop_
_atom_site_label
_atom_site_type_symbol
_atom_site_fract_x
_atom_site_fract_y
_atom_site_fract_z
Zr1 Zr 0.174 0.326 0.000
Si1 Si 0.135 0.635 0.500
Os1 Os 0.000 0.000 0.500

(5)
# Nd3Ga10Ni, relaxed, DFT GGA-PBE
# calculated volume	279	Å³/cell
# uncorrected energy	-4.14	eV/atom
# energy above the most stable polymorph in this dataset	0	meV per atom
data_Nd3Ga10Ni
_chemical_formula_sum 'Nd3 Ga10 Ni1'
_cell_length_a 4.250
_cell_length_b 4.283
_cell_length_c 15.305
_cell_angle_alpha 90.00
_cell_angle_beta 90.00
_cell_angle_gamma 90.00
_symmetry_space_group_name_H-M 'P m m m'
_symmetry_Int_Tables_number 47
_symmetry_space_group_name_Hall '-P 2 2'
loop_
_atom_site_label
_atom_site_type_symbol
_atom_site_fract_x
_atom_site_fract_y
_atom_site_fract_z
Nd1 Nd 0.000 0.000 0.000
Nd2 Nd 0.000 0.500 0.253
Ga1 Ga 0.000 0.000 0.416
Ga2 Ga 0.500 0.000 0.158
Ga3 Ga 0.500 0.000 0.317
Ga4 Ga 0.500 0.500 0.081
Ga5 Ga 0.500 0.500 0.415
Ni1 Ni 0.000 0.500 0.500

(6)
# RbNdO3, relaxed, DFT GGA-PBE
# calculated volume	614	Å³/cell
# uncorrected energy	-5.85	eV/atom
data_RbNdO3
_chemical_formula_sum 'Rb6 Nd6 O18'
_cell_length_a 6.6125
_cell_length_b 6.6125
_cell_length_c 16.2274
_cell_angle_alpha 90.00
_cell_angle_beta 90.00
_cell_angle_gamma 120.00
_symmetry_space_group_name_H-M 'R -3'
_symmetry_Int_Tables_number 148
_symmetry_space_group_name_Hall '-R 3'
loop_
_atom_site_label
_atom_site_type_symbol
_atom_site_fract_x
_atom_site_fract_y
_atom_site_fract_z
Rb1 Rb 0.0000 0.0000 0.1212
Nd1 Nd 0.0000 0.0000 0.3513
O1 O 0.0270 0.5945 0.9293